Entry 1:
GGA-PBE BeCrSb2, relaxed; volume = 19.5 Å³ per atom; density = 6481 kg/m³
1.0
3.189 0.000 0.000
0.000 3.189 0.000
0.000 0.000 7.672
Be Cr Sb
1 1 2
direct
0.000 0.000 0.000 Be
0.500 0.500 0.122 Cr
0.000 0.000 0.334 Sb
0.500 0.500 0.772 Sb

=====

Entry 2:
GGA-PBE Ag8AsSe2, relaxed; volume = 19.7 Å³ per atom; density = 8395 kg/m³
1.0
-2.104 4.044 6.367
2.104 -4.044 6.367
2.104 4.044 -6.367
Ag As Se
8 1 2
direct
0.096 0.339 0.758 Ag
0.159 0.159 0.000 Ag
0.264 0.000 0.264 Ag
0.419 0.661 0.758 Ag
0.581 0.339 0.242 Ag
0.736 0.000 0.736 Ag
0.841 0.841 0.000 Ag
0.904 0.661 0.242 Ag
0.000 0.500 0.500 As
0.337 0.837 0.500 Se
0.663 0.163 0.500 Se

=====

Raw formation energy: 295, 62 (meV/atom)